[1]
BaNaSr6Ir, relaxed, DFT GGA-PBE; volume = 432.32 Å³ per cell; spin magnetization = 0.00 μB/atom; energy of formation from the pure elements = -0.061 eV per atom
1.0
-1.0524 7.6301 -3.8801
-6.1307 1.4420 -4.0649
-3.8501 3.3593 5.9415
Sr Ba Na Ir
6 1 1 1
Direct
0.4994 0.3976 0.1425
0.6739 0.2671 0.6247
0.1089 0.2666 0.2792
0.0275 0.4197 0.7695
0.1901 0.7320 0.5155
0.4747 0.9239 0.8188
0.6440 0.8366 0.3370
0.0131 0.8970 0.0116
0.3682 0.2595 0.5010

[2]
Ba5Na2SrIr, relaxed, DFT GGA-PBE; volume = 478.29 Å³ per cell; spin magnetization = 0.00 μB/atom; energy of formation from the pure elements = -0.111 eV per atom
1.0
8.7555 -0.0882 -0.1280
-4.2349 7.6637 0.1280
-4.2349 -2.6094 7.2069
Ir Na Ba Sr
1 2 5 1
Direct
0.0000 0.0010 0.0010
0.5000 0.2497 0.7497
0.5000 0.7497 0.2497
0.4852 0.2415 0.2415
0.5148 0.7563 0.7563
0.0000 0.2452 0.2452
0.0000 0.7563 0.2415
0.0000 0.2415 0.7563
0.0000 0.7588 0.7588

[3]
Ba2Na3Sr6Ir, relaxed, DFT GGA-PBE; volume = 615.72 Å³ per cell; spin magnetization = 0.00 μB/atom; energy of formation from the pure elements = -0.010 eV per atom
1.0
7.5459 0.0000 0.1949
0.0000 8.1652 0.0000
-0.8697 -4.0826 9.9708
Sr Ir Na Ba
6 1 3 2
Direct
0.6689 0.8390 0.1684
0.3311 0.6706 0.8316
0.1949 0.0897 0.1794
0.6689 0.3294 0.1684
0.8051 0.9103 0.8206
0.3311 0.1610 0.8316
0.5000 0.0000 0.0000
0.5000 0.5000 0.5000
0.5000 0.0000 0.5000
0.0000 0.5000 0.0000
0.9366 0.2891 0.5783
0.0634 0.7109 0.4217

- Which value of volume does entry 3 give?
  615.72 Å³ per cell